[1]
This record from Alexandria describes an optimized crystal structure of La4CoGeBr2. The functional is GGA-PBE.

POSCAR file:
```
La4CoGeBr2
1.0
-2.438 3.211 -1.417
2.291 -1.357 -7.020
-6.498 -4.415 1.176
Br La Co Ge
2 4 1 1
direct
0.000 0.500 0.500 Br
0.500 0.000 0.500 Br
0.500 0.269 0.189 La
0.000 0.729 0.209 La
0.500 0.731 0.811 La
0.000 0.271 0.791 La
0.500 0.500 0.000 Co
0.000 0.000 0.000 Ge
```

Results
As for the total DFT energy (no corrections): -5.33 eV/atom. The size of the total moment is 0.00 Bohr magnetons per cell. The formation energy (no corrections) is -0.979 eV per atom. The space-group type is P2/m, No. 10.

[2]
This record from Alexandria describes an optimized crystal structure of LaTa2Pb. The functional is GGA-PBE.

POSCAR file:
```
LaTa2Pb
1.0
3.114 0.019 0.000
-1.147 2.895 0.000
0.000 0.000 10.184
Ta La Pb
2 1 1
direct
0.000 0.000 0.516 Ta
0.000 0.000 0.984 Ta
0.500 0.500 0.250 La
0.500 0.500 0.750 Pb
```

Results
As for the total DFT energy (no corrections): -7.44 eV/atom. The formation energy from the elements is 0.65 eV/atom. The size of the total moment is 0.00 Bohr magnetons per cell. The space-group type is Cmmm, No. 65.